(1)
## MnNiAgW2 (PBE)

Data for MnNiAgW2 after structural relaxation.

a = 4.7568 Å, b = 4.7568 Å, c = 4.4683 Å
α = 90.00°, β = 90.00°, γ = 90.00°
Space group P4/mmm (No. 123)
Unique sites:
Mn  0.0000  0.0000  0.0000 [1 per cell]
Ni  0.5000  0.5000  0.0000 [1 per cell]
Ag  0.0000  0.0000  0.5000 [1 per cell]
W  0.0000  0.5000  0.5000 [2 per cell]

## Properties
The calculation puts the formation energy at 14.73 eV/f.u. The value obtained for the total moment is 0.7 μB/f.u. For the excess energy over the best structure of this formula in the dataset, the calculation gives 1.308 eV/atom.



(2)
## MnNiAgW2 (PBE)

Data for MnNiAgW2 after structural relaxation.

a = 4.3754 Å, b = 4.3754 Å, c = 4.7448 Å
α = 90.00°, β = 90.00°, γ = 90.00°
Space group P4/mmm (No. 123)
Unique sites:
Mn  0.0000  0.0000  0.0000 [1 per cell]
Ni  0.5000  0.5000  0.5000 [1 per cell]
Ag  0.0000  0.0000  0.5000 [1 per cell]
W  0.0000  0.5000  0.0000 [2 per cell]

## Properties
The calculation puts the formation energy at 8.18 eV/f.u. The value obtained for the total moment is 0.0 μB/f.u. For the excess energy over the best structure of this formula in the dataset, the calculation gives 0.000 eV/atom.



Question: What is the formula in the first record?
Answer: MnNiAgW2



Copy entry 2 word for word.
## MnNiAgW2 (PBE)

Data for MnNiAgW2 after structural relaxation.

a = 4.3754 Å, b = 4.3754 Å, c = 4.7448 Å
α = 90.00°, β = 90.00°, γ = 90.00°
Space group P4/mmm (No. 123)
Unique sites:
Mn  0.0000  0.0000  0.0000 [1 per cell]
Ni  0.5000  0.5000  0.5000 [1 per cell]
Ag  0.0000  0.0000  0.5000 [1 per cell]
W  0.0000  0.5000  0.0000 [2 per cell]

## Properties
The calculation puts the formation energy at 8.18 eV/f.u. The value obtained for the total moment is 0.0 μB/f.u. For the excess energy over the best structure of this formula in the dataset, the calculation gives 0.000 eV/atom.



Question: Which formula does entry 1 have?
Answer: MnNiAgW2